No. 1
Computed, not measured: an optimized crystal structure of MgAgNF2 at the PBE level of DFT.

Lattice parameters (Å, degrees): 3.685 3.685 5.189 90.00 90.00 90.00
Sites, in units of the cell vectors:
Mg  0.000  0.000  0.000
Ag  0.500  0.500  0.500
N  0.000  0.000  0.500
F  0.000  0.500  0.000
F  0.500  0.000  0.000

Computed properties:
- SG: P4/mmm (123)
- Fermi-level density of states: 1.57 states/eV per cell
- Formation energy without anion corrections: -0.969 eV/atom
- Polymorph energy (0 for the lowest one): 0.0 meV per atom

***

No. 2
Computed, not measured: an optimized crystal structure of MgAgNF2 at the PBE level of DFT.

Lattice parameters (Å, degrees): 4.337 4.337 4.035 90.00 90.00 90.00
Sites, in units of the cell vectors:
Mg  0.000  0.000  0.000
Ag  0.500  0.500  0.500
N  0.500  0.500  0.000
F  0.000  0.500  0.500
F  0.500  0.000  0.500

Computed properties:
- SG: P4/mmm (123)
- Fermi-level density of states: 2.29 states/eV per cell
- Formation energy without anion corrections: -0.263 eV/atom
- Polymorph energy (0 for the lowest one): 705.8 meV per atom

***

No. 3
Computed, not measured: an optimized crystal structure of Na2MgAgF6 at the PBE level of DFT.

Lattice parameters (Å, degrees): 5.417 5.672 10.182 90.00 121.75 90.00
Sites, in units of the cell vectors:
Na  0.226  0.058  0.243
Na  0.226  0.442  0.743
Na  0.774  0.558  0.257
Na  0.774  0.942  0.757
Mg  0.500  0.000  0.000
Mg  0.500  0.500  0.500
Ag  0.000  0.000  0.500
Ag  0.000  0.500  0.000
F  0.142  0.194  0.941
F  0.142  0.306  0.441
F  0.227  0.710  0.918
F  0.227  0.790  0.418
F  0.416  0.065  0.791
F  0.416  0.435  0.291
F  0.584  0.565  0.709
F  0.584  0.935  0.209
F  0.773  0.210  0.582
F  0.773  0.290  0.082
F  0.858  0.694  0.559
F  0.858  0.806  0.059

Computed properties:
- SG: P2_1/c (14)
- Formation energy without anion corrections: -2.492 eV/atom

***

No. 4
Computed, not measured: an optimized crystal structure of NaMg2AgF at the PBE level of DFT.

Lattice parameters (Å, degrees): 5.583 5.583 4.979 90.00 90.00 90.00
Sites, in units of the cell vectors:
Na  0.000  0.000  0.000
Mg  0.000  0.500  0.000
Mg  0.500  0.000  0.000
Ag  0.000  0.000  0.500
F  0.500  0.500  0.500

Computed properties:
- SG: P4/mmm (123)
- Fermi-level density of states: 1.70 states/eV per cell
- Formation energy without anion corrections: 0.312 eV/atom

***

No. 5
Computed, not measured: an optimized crystal structure of NaMgAg2F6 at the PBE level of DFT.

Lattice parameters (Å, degrees): 5.548 5.898 9.930 90.00 123.36 90.00
Sites, in units of the cell vectors:
Na  0.000  0.000  0.000
Na  0.000  0.500  0.500
Mg  0.500  0.000  0.500
Mg  0.500  0.500  0.000
Ag  0.204  0.073  0.726
Ag  0.204  0.427  0.226
Ag  0.796  0.573  0.774
Ag  0.796  0.927  0.274
F  0.158  0.187  0.442
F  0.158  0.313  0.942
F  0.233  0.729  0.410
F  0.233  0.771  0.910
F  0.420  0.081  0.276
F  0.420  0.419  0.776
F  0.580  0.581  0.224
F  0.580  0.919  0.724
F  0.767  0.229  0.090
F  0.767  0.271  0.590
F  0.842  0.687  0.058
F  0.842  0.813  0.558

Computed properties:
- SG: P2_1/c (14)
- Fermi-level density of states: 7.03 states/eV per cell
- Formation energy without anion corrections: -2.136 eV/atom

***

No. 6
Computed, not measured: an optimized crystal structure of NaMgAgF6 at the PBE level of DFT.

Lattice parameters (Å, degrees): 5.463 5.463 4.881 90.00 90.00 120.00
Sites, in units of the cell vectors:
Na  0.000  0.000  0.000
Mg  0.333  0.667  0.500
Ag  0.667  0.333  0.500
F  0.015  0.364  0.724
F  0.015  0.651  0.276
F  0.349  0.364  0.276
F  0.349  0.985  0.724
F  0.636  0.651  0.724
F  0.636  0.985  0.276

Computed properties:
- SG: P312 (149)
- Formation energy without anion corrections: -2.235 eV/atom